NdGa2 after structural relaxation, computed with PBE.

It has space group I4_1/amd (No. 141, origin choice 2), with a = 4.2839 Å, b = 4.2839 Å, c = 14.8625 Å, α = 90.00°, β = 90.00° and γ = 90.00°. The inequivalent atoms are Nd at (0.0000, 0.2500, 0.3750) and Ga at (0.0000, 0.2500, 0.7919).

The raw total energy is -4.289 eV per atom.